# 1
Compound: NdCd3Pt2
Source: Alexandria
Functional: PBE-GGA
Structure: optimized geometry

## Properties
Magnetization = 0.00 μB per formula unit
Space group = Immm, No. 71
Formation energy = -0.545 eV/atom

Unit cell a=8.681 b=8.681 c=8.681 alpha=153.12 beta=114.02 gamma=72.61
Sites, in units of the cell vectors:
Nd (0.133, 0.133, 0.000)
Nd (0.867, 0.867, 0.000)
Cd (0.125, 0.329, 0.796)
Cd (0.351, 0.000, 0.351)
Cd (0.467, 0.671, 0.796)
Cd (0.533, 0.329, 0.204)
Cd (0.649, 0.000, 0.649)
Cd (0.875, 0.671, 0.204)
Pt (0.145, 0.500, 0.645)
Pt (0.302, 0.802, 0.500)
Pt (0.698, 0.198, 0.500)
Pt (0.855, 0.500, 0.355)



# 2
Compound: Pr8SiRu3Br4
Source: Alexandria
Functional: PBE-GGA
Structure: optimized geometry

## Properties
Magnetization = 0.00 μB per formula unit
Raw formation energy = -0.825 eV/atom
Space group = R-3m, No. 166

Unit cell a=9.173 b=9.173 c=9.173 alpha=54.50 beta=54.50 gamma=54.50
Sites, in units of the cell vectors:
Pr (0.219, 0.737, 0.737)
Pr (0.236, 0.236, 0.236)
Pr (0.263, 0.263, 0.781)
Pr (0.263, 0.781, 0.263)
Pr (0.737, 0.219, 0.737)
Pr (0.737, 0.737, 0.219)
Pr (0.764, 0.764, 0.764)
Pr (0.781, 0.263, 0.263)
Si (0.500, 0.500, 0.500)
Ru (0.000, 0.000, 0.500)
Ru (0.000, 0.500, 0.000)
Ru (0.500, 0.000, 0.000)
Br (0.000, 0.000, 0.000)
Br (0.000, 0.500, 0.500)
Br (0.500, 0.000, 0.500)
Br (0.500, 0.500, 0.000)



# 3
Compound: Na2Tl5Hg
Source: Alexandria
Functional: PBE-GGA
Structure: optimized geometry

## Properties
Magnetization = 0.00 μB per formula unit
Space group = Pbam, No. 55
Formation energy = -0.099 eV/atom

Unit cell a=6.909 b=13.899 c=4.725 alpha=90.00 beta=90.00 gamma=90.00
Sites, in units of the cell vectors:
Na (0.236, 0.121, 0.000)
Na (0.264, 0.621, 0.000)
Na (0.736, 0.379, 0.000)
Na (0.764, 0.879, 0.000)
Tl (0.000, 0.500, 0.500)
Tl (0.008, 0.750, 0.500)
Tl (0.246, 0.375, 0.000)
Tl (0.254, 0.875, 0.000)
Tl (0.492, 0.250, 0.500)
Tl (0.500, 0.000, 0.500)
Tl (0.508, 0.750, 0.500)
Tl (0.746, 0.125, 0.000)
Tl (0.754, 0.625, 0.000)
Tl (0.992, 0.250, 0.500)
Hg (0.000, 0.000, 0.500)
Hg (0.500, 0.500, 0.500)



# 4
Compound: SnSbPd
Source: Alexandria
Functional: PBE-GGA
Structure: optimized geometry

## Properties
Energy above the most stable polymorph in this dataset = 73.3 meV/atom
Magnetization = 0.00 μB per formula unit
Raw formation energy = -0.252 eV/atom
Space group = I4mm, No. 107

Unit cell a=6.741 b=6.741 c=6.741 alpha=151.82 beta=151.82 gamma=40.28
Sites, in units of the cell vectors:
Sn (0.000, 0.000, 0.000)
Sb (0.725, 0.725, 0.000)
Pd (0.356, 0.356, 0.000)



# 5
Compound: V3BiS
Source: Alexandria
Functional: PBE-GGA
Structure: optimized geometry

## Properties
Energy above the most stable polymorph in this dataset = 1457.3 meV/atom
Magnetization = 9.99 μB per formula unit
Raw formation energy = 1.545 eV/atom
Space group = Pm-3m, No. 221

Unit cell a=5.214 b=5.214 c=5.214 alpha=90.00 beta=90.00 gamma=90.00
Sites, in units of the cell vectors:
V (0.000, 0.000, 0.500)
V (0.000, 0.500, 0.000)
V (0.500, 0.000, 0.000)
Bi (0.000, 0.000, 0.000)
S (0.500, 0.500, 0.500)



# 6
Compound: PmSm2Dy2Y2
Source: Alexandria
Functional: PBE-GGA
Structure: optimized geometry

## Properties
Magnetization = 0.00 μB per formula unit
Space group = C2/m, No. 12
Formation energy = 0.016 eV/atom

Unit cell a=6.211 b=6.211 c=8.033 alpha=97.28 beta=97.28 gamma=48.26
Sites, in units of the cell vectors:
Pm (0.000, 0.000, 0.000)
Sm (0.428, 0.428, 0.287)
Sm (0.572, 0.572, 0.713)
Dy (0.143, 0.143, 0.430)
Dy (0.857, 0.857, 0.570)
Y (0.286, 0.286, 0.855)
Y (0.714, 0.714, 0.145)



# 7
Compound: BaCaLa
Source: Alexandria
Functional: PBE-GGA
Structure: optimized geometry

## Properties
Energy above the most stable polymorph in this dataset = 0.0 meV/atom
Magnetization = 0.00 μB per formula unit
Space group = Pmmn, No. 59
Formation energy = 0.083 eV/atom

Unit cell a=4.178 b=4.654 c=14.603 alpha=90.00 beta=90.00 gamma=90.00
Sites, in units of the cell vectors:
Ba (0.250, 0.250, 0.109)
Ba (0.750, 0.750, 0.891)
Ca (0.250, 0.250, 0.705)
Ca (0.750, 0.750, 0.295)
La (0.250, 0.250, 0.444)
La (0.750, 0.750, 0.556)



# 8
Compound: LiMg2Ta
Source: Alexandria
Functional: PBE-GGA
Structure: optimized geometry

## Properties
Energy above the most stable polymorph in this dataset = 15.8 meV/atom
Magnetization = 0.13 μB per formula unit
Space group = R-3m, No. 166
Formation energy = 0.159 eV/atom

Unit cell a=10.447 b=10.447 c=10.447 alpha=16.27 beta=16.27 gamma=16.27
Sites, in units of the cell vectors:
Li (0.000, 0.000, 0.000)
Mg (0.251, 0.251, 0.251)
Mg (0.749, 0.749, 0.749)
Ta (0.500, 0.500, 0.500)



# 9
Compound: Ac2MgPt
Source: Alexandria
Functional: PBE-GGA
Structure: optimized geometry

## Properties
Energy above the most stable polymorph in this dataset = 0.0 meV/atom
Magnetization = 0.00 μB per formula unit
Space group = P4/mmm, No. 123
Formation energy = -0.551 eV/atom

Unit cell a=3.882 b=3.882 c=8.240 alpha=90.00 beta=90.00 gamma=90.00
Sites, in units of the cell vectors:
Ac (0.000, 0.000, 0.215)
Ac (0.000, 0.000, 0.785)
Mg (0.500, 0.500, 0.500)
Pt (0.500, 0.500, 0.000)



# 10
Compound: ThTe2Pd
Source: Alexandria
Functional: PBE-GGA
Structure: optimized geometry

## Properties
Energy above the most stable polymorph in this dataset = 0.0 meV/atom
Magnetization = 0.00 μB per formula unit
Raw formation energy = -0.992 eV/atom
Space group = P1, No. 1

Unit cell a=4.662 b=4.662 c=7.380 alpha=89.84 beta=89.06 gamma=60.01
Sites, in units of the cell vectors:
Th (0.000, 0.000, 0.000)
Te (0.326, 0.336, 0.229)
Te (0.676, 0.663, 0.719)
Pd (0.339, 0.331, 0.838)



# 11
Compound: Ta2MnCr
Source: Alexandria
Functional: PBE-GGA
Structure: optimized geometry

## Properties
Magnetization = 2.72 μB per formula unit
Space group = Immm, No. 71
Formation energy = 0.879 eV/atom

Unit cell a=5.721 b=5.721 c=5.721 alpha=152.33 beta=129.78 gamma=58.30
Sites, in units of the cell vectors:
Ta (0.249, 0.249, 0.000)
Ta (0.751, 0.751, 0.000)
Mn (0.500, 0.500, 0.000)
Cr (0.000, 0.000, 0.000)



# 12
Compound: CdTeSe
Source: Alexandria
Functional: PBE-GGA
Structure: optimized geometry

## Properties
Energy above the most stable polymorph in this dataset = 404.5 meV/atom
Magnetization = 0.00 μB per formula unit
Raw formation energy = 0.096 eV/atom
Space group = Fmm2, No. 42

Unit cell a=8.159 b=7.953 c=3.359 alpha=81.43 beta=74.55 gamma=24.02
Sites, in units of the cell vectors:
Cd (0.000, 0.000, 0.000)
Te (0.654, 0.654, 0.346)
Se (0.381, 0.381, 0.619)



# 13
Compound: Li2Tc2N3
Source: Alexandria
Functional: PBE-GGA
Structure: optimized geometry

## Properties
Magnetization = 0.00 μB per formula unit
Raw formation energy = -0.240 eV/atom
Space group = P2_1/c, No. 14

Unit cell a=5.568 b=5.547 c=5.644 alpha=90.00 beta=115.76 gamma=90.00
Sites, in units of the cell vectors:
Li (0.115, 0.150, 0.391)
Li (0.115, 0.350, 0.891)
Li (0.885, 0.650, 0.109)
Li (0.885, 0.850, 0.609)
Tc (0.342, 0.629, 0.585)
Tc (0.342, 0.871, 0.085)
Tc (0.658, 0.129, 0.915)
Tc (0.658, 0.371, 0.415)
N (0.000, 0.000, 0.000)
N (0.000, 0.500, 0.500)
N (0.318, 0.548, 0.220)
N (0.318, 0.952, 0.720)
N (0.682, 0.048, 0.280)
N (0.682, 0.452, 0.780)



# 14
Compound: YTh2Pt9
Source: Alexandria
Functional: PBE-GGA
Structure: optimized geometry

## Properties
Energy above the most stable polymorph in this dataset = 153.4 meV/atom
Magnetization = 0.00 μB per formula unit
Space group = R-3m, No. 166
Formation energy = -0.945 eV/atom

Unit cell a=9.551 b=9.551 c=9.551 alpha=33.11 beta=33.11 gamma=33.11
Sites, in units of the cell vectors:
Y (0.000, 0.000, 0.000)
Th (0.137, 0.137, 0.137)
Th (0.863, 0.863, 0.863)
Pt (0.081, 0.587, 0.587)
Pt (0.333, 0.333, 0.333)
Pt (0.413, 0.413, 0.919)
Pt (0.413, 0.919, 0.413)
Pt (0.500, 0.500, 0.500)
Pt (0.587, 0.081, 0.587)
Pt (0.587, 0.587, 0.081)
Pt (0.667, 0.667, 0.667)
Pt (0.919, 0.413, 0.413)



# 15
Compound: MgBe2CdIn
Source: Alexandria
Functional: PBE-GGA
Structure: optimized geometry

## Properties
Magnetization = 0.00 μB per formula unit
Space group = P4/mmm, No. 123
Formation energy = 0.837 eV/atom

Unit cell a=4.545 b=4.545 c=5.763 alpha=90.00 beta=90.00 gamma=90.00
Sites, in units of the cell vectors:
Mg (0.000, 0.000, 0.000)
Be (0.000, 0.500, 0.500)
Be (0.500, 0.000, 0.500)
Cd (0.500, 0.500, 0.000)
In (0.500, 0.500, 0.500)



# 16
Compound: Li2Zn3Ga
Source: Alexandria
Functional: PBE-GGA
Structure: optimized geometry

## Properties
Energy above the most stable polymorph in this dataset = 0.0 meV/atom
Magnetization = 0.00 μB per formula unit
Space group = Fmmm, No. 69
Formation energy = -0.206 eV/atom

Unit cell a=8.766 b=8.058 c=5.251 alpha=79.33 beta=64.61 gamma=36.06
Sites, in units of the cell vectors:
Li (0.249, 0.751, 0.751)
Li (0.250, 0.250, 0.250)
Li (0.750, 0.750, 0.750)
Li (0.751, 0.249, 0.249)
Zn (0.165, 0.165, 0.835)
Zn (0.166, 0.667, 0.333)
Zn (0.333, 0.834, 0.166)
Zn (0.667, 0.166, 0.834)
Zn (0.834, 0.333, 0.667)
Zn (0.835, 0.835, 0.165)
Ga (0.333, 0.333, 0.667)
Ga (0.667, 0.667, 0.333)



# 17
Compound: Mg2Fe2Ir
Source: Alexandria
Functional: PBE-GGA
Structure: optimized geometry

## Properties
Energy above the most stable polymorph in this dataset = 552.8 meV/atom
Magnetization = 6.01 μB per formula unit
Space group = I4/mmm, No. 139
Formation energy = 0.700 eV/atom

Unit cell a=6.682 b=6.682 c=6.682 alpha=148.62 beta=148.62 gamma=44.97
Sites, in units of the cell vectors:
Mg (0.250, 0.750, 0.500)
Mg (0.750, 0.250, 0.500)
Fe (0.086, 0.086, 0.000)
Fe (0.914, 0.914, 0.000)
Ir (0.500, 0.500, 0.000)



# 18
Compound: TeRu
Source: Alexandria
Functional: PBE-GGA
Structure: optimized geometry

## Properties
Magnetization = 0.00 μB per formula unit
Raw formation energy = 0.241 eV/atom
Space group = P4_2/mnm, No. 136

Unit cell a=7.830 b=7.830 c=3.283 alpha=90.00 beta=90.00 gamma=90.00
Sites, in units of the cell vectors:
Te (0.193, 0.193, 0.000)
Te (0.307, 0.693, 0.500)
Te (0.693, 0.307, 0.500)
Te (0.807, 0.807, 0.000)
Ru (0.130, 0.870, 0.000)
Ru (0.370, 0.370, 0.500)
Ru (0.630, 0.630, 0.500)
Ru (0.870, 0.130, 0.000)



# 19
Compound: AcCd2Pd
Source: Alexandria
Functional: PBE-GGA
Structure: optimized geometry

## Properties
Energy above the most stable polymorph in this dataset = 266.0 meV/atom
Magnetization = 0.00 μB per formula unit
Space group = P4/mmm, No. 123
Formation energy = -0.296 eV/atom

Unit cell a=3.609 b=3.609 c=7.606 alpha=90.00 beta=90.00 gamma=90.00
Sites, in units of the cell vectors:
Ac (0.000, 0.000, 0.000)
Cd (0.500, 0.500, 0.313)
Cd (0.500, 0.500, 0.687)
Pd (0.000, 0.000, 0.500)



# 20
Compound: BaOsBr2
Source: Alexandria
Functional: PBE-GGA
Structure: optimized geometry

## Properties
Energy above the most stable polymorph in this dataset = 137.7 meV/atom
Magnetization = 0.40 μB per formula unit
Raw formation energy = 0.054 eV/atom
Space group = P4mm, No. 99

Unit cell a=3.637 b=3.637 c=8.675 alpha=90.00 beta=90.00 gamma=90.00
Sites, in units of the cell vectors:
Ba (0.000, 0.000, 0.000)
Os (0.500, 0.500, 0.706)
Br (0.000, 0.000, 0.626)
Br (0.500, 0.500, 0.228)



# 21
Compound: PtAuBr2
Source: Alexandria
Functional: PBE-GGA
Structure: optimized geometry

## Properties
Energy above the most stable polymorph in this dataset = 342.5 meV/atom
Magnetization = 0.00 μB per formula unit
Raw formation energy = 0.368 eV/atom
Space group = R-3m, No. 166

Unit cell a=7.970 b=7.970 c=7.970 alpha=30.00 beta=30.00 gamma=30.00
Sites, in units of the cell vectors:
Pt (0.000, 0.000, 0.000)
Au (0.500, 0.500, 0.500)
Br (0.392, 0.392, 0.392)
Br (0.608, 0.608, 0.608)



# 22
Compound: La4NiIr3
Source: Alexandria
Functional: PBE-GGA
Structure: optimized geometry

## Properties
Magnetization = 0.00 μB per formula unit
Space group = Pmm2, No. 25
Formation energy = -0.631 eV/atom

Unit cell a=4.034 b=4.257 c=11.212 alpha=90.00 beta=90.00 gamma=90.00
Sites, in units of the cell vectors:
La (0.000, 0.000, 0.000)
La (0.000, 0.500, 0.275)
La (0.500, 0.000, 0.495)
La (0.500, 0.500, 0.775)
Ni (0.000, 0.000, 0.707)
Ir (0.000, 0.500, 0.564)
Ir (0.500, 0.000, 0.225)
Ir (0.500, 0.500, 0.042)



# 23
Compound: Mg3Pd12Pb
Source: Alexandria
Functional: PBE-GGA
Structure: optimized geometry

## Properties
Magnetization = 0.00 μB per formula unit
Space group = P4/mmm, No. 123
Formation energy = -0.419 eV/atom

Unit cell a=4.019 b=4.019 c=15.909 alpha=90.00 beta=90.00 gamma=90.00
Sites, in units of the cell vectors:
Mg (0.000, 0.000, 0.000)
Mg (0.000, 0.000, 0.245)
Mg (0.000, 0.000, 0.755)
Pd (0.000, 0.500, 0.122)
Pd (0.000, 0.500, 0.367)
Pd (0.000, 0.500, 0.633)
Pd (0.000, 0.500, 0.878)
Pd (0.500, 0.000, 0.122)
Pd (0.500, 0.000, 0.367)
Pd (0.500, 0.000, 0.633)
Pd (0.500, 0.000, 0.878)
Pd (0.500, 0.500, 0.000)
Pd (0.500, 0.500, 0.244)
Pd (0.500, 0.500, 0.500)
Pd (0.500, 0.500, 0.756)
Pb (0.000, 0.000, 0.500)